! PBE NaOs, relaxed; values from VASP
&SYSTEM
  ibrav = 0, nat = 16, ntyp = 2
/
ATOMIC_SPECIES
Na 22.99 Na.upf
Os 190.23 Os.upf
ATOMIC_POSITIONS crystal
Na 0.500 0.200 0.000
Na 0.000 0.300 0.500
Na 0.300 0.000 0.500
Na 0.800 0.500 0.000
Na 0.500 0.800 0.000
Na 0.200 0.500 0.000
Na 0.700 0.000 0.500
Na 0.000 0.700 0.500
Os 0.292 0.708 0.500
Os 0.208 0.208 0.000
Os 0.208 0.792 0.000
Os 0.708 0.708 0.500
Os 0.708 0.292 0.500
Os 0.792 0.792 0.000
Os 0.292 0.292 0.500
Os 0.792 0.208 0.000
CELL_PARAMETERS angstrom
-5.890 -6.152 -6.065
-5.400 -3.107 8.397
-2.531 2.951 -0.536
! Total magnetic moment ... 0.000 μB per atom
! Space-group type ... I4/mmm (139)
! Formation energy from the elements ... 1.15 eV per atom
! Electronic total energy ... -5.126 eV per atom
! ΔE to the lowest computed polymorph ... 657 meV/atom

=====

! PBE Na3Os, relaxed; values from VASP
&SYSTEM
  ibrav = 0, nat = 8, ntyp = 2
/
ATOMIC_SPECIES
Na 22.99 Na.upf
Os 190.23 Os.upf
ATOMIC_POSITIONS crystal
Na 0.356 0.178 0.750
Na 0.178 0.356 0.250
Na 0.822 0.644 0.750
Na 0.178 0.822 0.250
Na 0.822 0.178 0.750
Na 0.644 0.822 0.250
Os 0.333 0.667 0.750
Os 0.667 0.333 0.250
CELL_PARAMETERS angstrom
3.207 -5.555 0.000
3.207 5.555 0.000
0.000 0.000 5.256
! Total magnetic moment ... 0.432 μB per atom
! Space-group type ... P6_3/mmc (194)
! Formation energy from the elements ... 1.13 eV per atom
! Electronic total energy ... -2.669 eV per atom
! ΔE to the lowest computed polymorph ... 0 meV/atom

=====

! PBE NaOs, relaxed; values from VASP
&SYSTEM
  ibrav = 0, nat = 32, ntyp = 2
/
ATOMIC_SPECIES
Na 22.99 Na.upf
Os 190.23 Os.upf
ATOMIC_POSITIONS crystal
Na 0.000 0.500 0.153
Na 0.250 0.750 0.903
Na 0.000 0.000 0.653
Na 0.250 0.250 0.403
Na 0.750 0.250 0.903
Na 0.250 0.750 0.597
Na 0.750 0.250 0.597
Na 0.000 0.000 0.347
Na 0.500 0.000 0.847
Na 0.500 0.000 0.153
Na 0.250 0.250 0.097
Na 0.500 0.500 0.653
Na 0.750 0.750 0.403
Na 0.750 0.750 0.097
Na 0.000 0.500 0.847
Na 0.500 0.500 0.347
Os 0.250 0.334 0.750
Os 0.750 0.166 0.250
Os 0.500 0.584 0.000
Os 0.500 0.084 0.500
Os 0.500 0.416 0.000
Os 0.000 0.416 0.500
Os 0.000 0.916 0.000
Os 0.000 0.084 0.000
Os 0.250 0.666 0.250
Os 0.750 0.334 0.250
Os 0.000 0.584 0.500
Os 0.500 0.916 0.500
Os 0.250 0.166 0.750
Os 0.250 0.834 0.250
Os 0.750 0.666 0.750
Os 0.750 0.834 0.750
CELL_PARAMETERS angstrom
5.408 0.000 0.000
0.000 14.208 0.000
0.000 0.000 7.800
! Total magnetic moment ... 0.000 μB per atom
! Space-group type ... Fddd (70)
! Formation energy from the elements ... 0.95 eV per atom
! Electronic total energy ... -5.321 eV per atom
! ΔE to the lowest computed polymorph ... 462 meV/atom

=====

! PBE NaOs, relaxed; values from VASP
&SYSTEM
  ibrav = 0, nat = 12, ntyp = 2
/
ATOMIC_SPECIES
Na 22.99 Na.upf
Os 190.23 Os.upf
ATOMIC_POSITIONS crystal
Na 0.712 0.776 0.750
Na 0.936 0.712 0.250
Na 0.776 0.064 0.250
Na 0.224 0.936 0.750
Na 0.288 0.224 0.250
Na 0.064 0.288 0.750
Os 0.601 0.449 0.250
Os 0.449 0.848 0.750
Os 0.551 0.152 0.250
Os 0.152 0.601 0.750
Os 0.848 0.399 0.250
Os 0.399 0.551 0.750
CELL_PARAMETERS angstrom
-7.874 4.390 -3.437
2.937 -8.345 -3.848
-1.474 -1.306 1.708
! Total magnetic moment ... 0.000 μB per atom
! Space-group type ... P6_3/m (176)
! Formation energy from the elements ... 0.93 eV per atom
! Electronic total energy ... -5.340 eV per atom
! ΔE to the lowest computed polymorph ... 443 meV/atom

=====

! PBE NaOs, relaxed; values from VASP
&SYSTEM
  ibrav = 0, nat = 2, ntyp = 2
/
ATOMIC_SPECIES
Na 22.99 Na.upf
Os 190.23 Os.upf
ATOMIC_POSITIONS crystal
Na 0.000 0.000 0.000
Os 0.333 0.667 0.500
CELL_PARAMETERS angstrom
-0.942 0.714 -2.422
-1.148 -2.033 1.347
-3.301 3.373 2.278
! Total magnetic moment ... 0.000 μB per atom
! Space-group type ... P-6m2 (187)
! Formation energy from the elements ... 0.71 eV per atom
! Electronic total energy ... -5.564 eV per atom
! ΔE to the lowest computed polymorph ... 219 meV/atom

=====

! PBE NaOs, relaxed; values from VASP
&SYSTEM
  ibrav = 0, nat = 12, ntyp = 2
/
ATOMIC_SPECIES
Na 22.99 Na.upf
Os 190.23 Os.upf
ATOMIC_POSITIONS crystal
Na 0.000 0.500 0.750
Na 0.000 0.500 0.250
Na 0.750 0.000 0.500
Na 0.250 0.000 0.500
Na 0.500 0.750 0.000
Na 0.500 0.250 0.000
Os 0.500 0.000 0.750
Os 0.000 0.750 0.500
Os 0.500 0.000 0.250
Os 0.250 0.500 0.000
Os 0.000 0.250 0.500
Os 0.750 0.500 0.000
CELL_PARAMETERS angstrom
-3.775 -1.628 7.502
7.535 -2.383 3.275
1.467 8.053 2.485
! Total magnetic moment ... 1.500 μB per atom
! Space-group type ... Pm-3n (223)
! Formation energy from the elements ... 3.26 eV per atom
! Electronic total energy ... -3.010 eV per atom
! ΔE to the lowest computed polymorph ... 2773 meV/atom

=====

! PBE NaOs, relaxed; values from VASP
&SYSTEM
  ibrav = 0, nat = 16, ntyp = 2
/
ATOMIC_SPECIES
Na 22.99 Na.upf
Os 190.23 Os.upf
ATOMIC_POSITIONS crystal
Na 0.207 0.207 0.207
Na 0.793 0.207 0.793
Na 0.707 0.707 0.707
Na 0.293 0.707 0.293
Na 0.793 0.793 0.207
Na 0.293 0.293 0.707
Na 0.707 0.293 0.293
Na 0.207 0.793 0.793
Os 0.094 0.906 0.094
Os 0.594 0.594 0.406
Os 0.906 0.094 0.094
Os 0.406 0.406 0.406
Os 0.094 0.094 0.906
Os 0.406 0.594 0.594
Os 0.906 0.906 0.906
Os 0.594 0.406 0.594
CELL_PARAMETERS angstrom
9.165 0.000 0.000
0.000 9.165 0.000
0.000 0.000 9.165
! Total magnetic moment ... 0.733 μB per atom
! Space-group type ... I-43m (217)
! Formation energy from the elements ... 1.81 eV per atom
! Electronic total energy ... -4.464 eV per atom
! ΔE to the lowest computed polymorph ... 1318 meV/atom

=====

! PBE NaOs, relaxed; values from VASP
&SYSTEM
  ibrav = 0, nat = 16, ntyp = 2
/
ATOMIC_SPECIES
Os 190.23 Os.upf
Na 22.99 Na.upf
ATOMIC_POSITIONS crystal
Os 0.130 0.898 0.361
Os 0.148 0.149 0.136
Os 0.630 0.602 0.639
Os 0.648 0.351 0.864
Os 0.370 0.102 0.861
Os 0.870 0.398 0.139
Os 0.352 0.851 0.636
Os 0.852 0.649 0.364
Na 0.484 0.225 0.484
Na 0.016 0.775 0.984
Na 0.984 0.275 0.516
Na 0.845 0.975 0.708
Na 0.655 0.025 0.208
Na 0.155 0.475 0.792
Na 0.345 0.525 0.292
Na 0.516 0.725 0.016
CELL_PARAMETERS angstrom
5.911 0.000 0.000
0.000 7.247 0.000
0.000 0.000 7.385
! Total magnetic moment ... 0.000 μB per atom
! Space-group type ... P2_12_12_1 (19)
! Formation energy from the elements ... 0.74 eV per atom
! Electronic total energy ... -5.530 eV per atom
! ΔE to the lowest computed polymorph ... 253 meV/atom

=====

> Which formula does entry 8 have?

NaOs

=====

> total magnetic moment of number 7 (NaOs)?

0.733 μB per atom